VAsN2O | GGA+U | relaxed Values from VASP.

Geometry as Quantum ESPRESSO input:
```
&SYSTEM
  ibrav = 0, nat = 5, ntyp = 4
/
ATOMIC_SPECIES
As 74.92 As.upf
N 14.01 N.upf
O 16.00 O.upf
V 50.94 V.upf
CELL_PARAMETERS angstrom
3.803 0.000 0.000
0.000 3.803 0.000
0.000 0.000 3.594
ATOMIC_POSITIONS angstrom
As 0.000 0.000 0.000
N 0.000 1.901 0.000
N 1.901 0.000 0.000
O 0.000 0.000 1.797
V 1.901 1.901 1.797
```

Calculated values
- Space group: P4/mmm (123)
- Raw total energy: -6.058 eV/atom